(1)
{"formula": "KMgFe2Cl8", "functional": "GGA-PBE", "state": "relaxed", "lattice": [[5.271, -3.595, 0.000], [5.271, 3.595, 0.000], [-0.672, 0.000, 9.207]], "species": ["K", "Mg", "Fe", "Fe", "Cl", "Cl", "Cl", "Cl", "Cl", "Cl", "Cl", "Cl"], "fractional_positions": [[0.000, 0.000, 0.000], [0.000, 0.000, 0.500], [0.374, 0.374, 0.712], [0.626, 0.626, 0.288], [0.238, 0.238, 0.513], [0.241, 0.752, 0.299], [0.248, 0.759, 0.701], [0.299, 0.299, 0.928], [0.701, 0.701, 0.072], [0.752, 0.241, 0.299], [0.759, 0.248, 0.701], [0.762, 0.762, 0.487]], "dft_energy_ev_per_atom": -4.09, "total_magnetization_mub_per_cell": 9.000}

---

(2)
{"formula": "KMgFeCl5", "functional": "GGA-PBE", "state": "relaxed", "lattice": [[4.328, -5.797, 0.000], [4.328, 5.797, 0.000], [-3.518, 0.000, 8.564]], "species": ["K", "K", "Mg", "Mg", "Fe", "Fe", "Cl", "Cl", "Cl", "Cl", "Cl", "Cl", "Cl", "Cl", "Cl", "Cl"], "fractional_positions": [[0.162, 0.838, 0.750], [0.838, 0.162, 0.250], [0.500, 0.500, 0.000], [0.500, 0.500, 0.500], [0.186, 0.814, 0.250], [0.814, 0.186, 0.750], [0.123, 0.256, 0.932], [0.191, 0.594, 0.394], [0.256, 0.123, 0.432], [0.406, 0.809, 0.106], [0.431, 0.569, 0.750], [0.569, 0.431, 0.250], [0.594, 0.191, 0.894], [0.744, 0.877, 0.568], [0.809, 0.406, 0.606], [0.877, 0.744, 0.068]], "dft_energy_ev_per_atom": -3.99, "total_magnetization_mub_per_cell": 8.000}

---

(3)
{"formula": "K2MgFeCl6", "functional": "GGA-PBE", "state": "relaxed", "lattice": [[3.529, 2.037, 5.705], [-3.529, 2.037, 5.705], [0.000, -4.075, 5.705]], "species": ["K", "K", "Mg", "Fe", "Cl", "Cl", "Cl", "Cl", "Cl", "Cl"], "fractional_positions": [[0.250, 0.250, 0.250], [0.750, 0.750, 0.750], [0.000, 0.000, 0.000], [0.500, 0.500, 0.500], [0.203, 0.748, 0.300], [0.252, 0.700, 0.797], [0.300, 0.203, 0.748], [0.700, 0.797, 0.252], [0.748, 0.300, 0.203], [0.797, 0.252, 0.700]], "dft_energy_ev_per_atom": -3.86, "total_magnetization_mub_per_cell": 4.000}

---

(4)
{"formula": "KMnFe2Cl8", "functional": "GGA-PBE", "state": "relaxed", "lattice": [[3.085, 1.781, 9.513], [-3.085, 1.781, 9.513], [0.000, -3.562, 9.513]], "species": ["K", "Mn", "Fe", "Fe", "Cl", "Cl", "Cl", "Cl", "Cl", "Cl", "Cl", "Cl"], "fractional_positions": [[0.000, 0.000, 0.000], [0.500, 0.500, 0.500], [0.237, 0.237, 0.237], [0.763, 0.763, 0.763], [0.151, 0.443, 0.762], [0.238, 0.849, 0.557], [0.315, 0.315, 0.315], [0.443, 0.762, 0.151], [0.557, 0.238, 0.849], [0.685, 0.685, 0.685], [0.762, 0.151, 0.443], [0.849, 0.557, 0.238]], "dft_energy_ev_per_atom": -4.41, "total_magnetization_mub_per_cell": 9.955}

---

(5)
{"formula": "KNaFe2Cl8", "functional": "GGA-PBE", "state": "relaxed", "lattice": [[5.536, -3.720, 0.000], [5.536, 3.720, 0.000], [-0.526, 0.000, 9.519]], "species": ["K", "Na", "Fe", "Fe", "Cl", "Cl", "Cl", "Cl", "Cl", "Cl", "Cl", "Cl"], "fractional_positions": [[0.000, 0.000, 0.000], [0.000, 0.000, 0.500], [0.379, 0.379, 0.728], [0.621, 0.621, 0.272], [0.253, 0.740, 0.726], [0.257, 0.257, 0.539], [0.260, 0.747, 0.274], [0.286, 0.286, 0.926], [0.714, 0.714, 0.074], [0.740, 0.253, 0.726], [0.743, 0.743, 0.461], [0.747, 0.260, 0.274]], "dft_energy_ev_per_atom": -4.02, "total_magnetization_mub_per_cell": 10.000}

---

(6)
{"formula": "KNaFe2Cl6", "functional": "GGA-PBE", "state": "relaxed", "lattice": [[6.691, -6.031, 0.000], [6.691, 6.031, 0.000], [-1.956, 0.000, 6.940]], "species": ["K", "K", "Na", "Na", "Fe", "Fe", "Fe", "Fe", "Cl", "Cl", "Cl", "Cl", "Cl", "Cl", "Cl", "Cl", "Cl", "Cl", "Cl", "Cl"], "fractional_positions": [[0.188, 0.812, 0.750], [0.812, 0.188, 0.250], [0.407, 0.593, 0.250], [0.593, 0.407, 0.750], [0.121, 0.303, 0.768], [0.303, 0.121, 0.268], [0.697, 0.879, 0.732], [0.879, 0.697, 0.232], [0.108, 0.174, 0.016], [0.115, 0.601, 0.339], [0.174, 0.108, 0.516], [0.300, 0.476, 0.858], [0.399, 0.885, 0.161], [0.476, 0.300, 0.358], [0.524, 0.700, 0.642], [0.601, 0.115, 0.839], [0.700, 0.524, 0.142], [0.826, 0.892, 0.484], [0.885, 0.399, 0.661], [0.892, 0.826, 0.984]], "dft_energy_ev_per_atom": -4.22, "total_magnetization_mub_per_cell": 16.000}

---

(7)
{"formula": "K2NaFeCl6", "functional": "GGA-PBE", "state": "relaxed", "lattice": [[7.103, 0.000, 0.000], [0.000, 10.037, 0.000], [0.000, 0.000, 7.095]], "species": ["K", "K", "K", "K", "Na", "Na", "Fe", "Fe", "Cl", "Cl", "Cl", "Cl", "Cl", "Cl", "Cl", "Cl", "Cl", "Cl", "Cl", "Cl"], "fractional_positions": [[0.250, 0.000, 0.249], [0.250, 0.500, 0.249], [0.750, 0.000, 0.751], [0.750, 0.500, 0.751], [0.250, 0.250, 0.749], [0.750, 0.750, 0.251], [0.250, 0.750, 0.751], [0.750, 0.250, 0.249], [0.022, 0.750, 0.523], [0.022, 0.750, 0.979], [0.250, 0.522, 0.751], [0.250, 0.978, 0.751], [0.478, 0.750, 0.523], [0.478, 0.750, 0.979], [0.522, 0.250, 0.021], [0.522, 0.250, 0.477], [0.750, 0.022, 0.249], [0.750, 0.478, 0.249], [0.978, 0.250, 0.021], [0.978, 0.250, 0.477]], "dft_energy_ev_per_atom": -3.66, "total_magnetization_mub_per_cell": 1.980}

---

(8)
{"formula": "K3NaFeCl6", "functional": "GGA-PBE", "state": "relaxed", "lattice": [[6.433, 3.714, 2.300], [-6.433, 3.714, 2.300], [0.000, -7.428, 2.300]], "species": ["K", "K", "K", "Na", "Fe", "Cl", "Cl", "Cl", "Cl", "Cl", "Cl"], "fractional_positions": [[0.000, 0.500, 0.500], [0.500, 0.000, 0.500], [0.500, 0.500, 0.000], [0.000, 0.000, 0.000], [0.500, 0.500, 0.500], [0.194, 0.194, 0.469], [0.194, 0.469, 0.194], [0.469, 0.194, 0.194], [0.531, 0.806, 0.806], [0.806, 0.531, 0.806], [0.806, 0.806, 0.531]], "dft_energy_ev_per_atom": -3.74, "relative_energy_mev_per_atom": 41, "total_magnetization_mub_per_cell": 4.000}

---

(9)
{"formula": "K3NaFeCl6", "functional": "GGA-PBE", "state": "relaxed", "lattice": [[6.087, 3.514, 4.641], [-6.087, 3.514, 4.641], [0.000, -7.029, 4.641]], "species": ["K", "K", "K", "K", "K", "K", "Na", "Na", "Fe", "Fe", "Cl", "Cl", "Cl", "Cl", "Cl", "Cl", "Cl", "Cl", "Cl", "Cl", "Cl", "Cl"], "fractional_positions": [[0.126, 0.750, 0.374], [0.250, 0.626, 0.874], [0.374, 0.126, 0.750], [0.626, 0.874, 0.250], [0.750, 0.374, 0.126], [0.874, 0.250, 0.626], [0.250, 0.250, 0.250], [0.750, 0.750, 0.750], [0.000, 0.000, 0.000], [0.500, 0.500, 0.500], [0.044, 0.920, 0.715], [0.080, 0.285, 0.956], [0.215, 0.420, 0.544], [0.285, 0.956, 0.080], [0.420, 0.544, 0.215], [0.456, 0.785, 0.580], [0.544, 0.215, 0.420], [0.580, 0.456, 0.785], [0.715, 0.044, 0.920], [0.785, 0.580, 0.456], [0.920, 0.715, 0.044], [0.956, 0.080, 0.285]], "dft_energy_ev_per_atom": -3.78, "relative_energy_mev_per_atom": 0, "total_magnetization_mub_per_cell": 8.000}

---

(10)
{"formula": "KFeNiCl6", "functional": "GGA-PBE", "state": "relaxed", "lattice": [[6.286, 0.000, 0.000], [-3.143, 5.444, 0.000], [0.000, 0.000, 6.995]], "species": ["K", "Fe", "Ni", "Cl", "Cl", "Cl", "Cl", "Cl", "Cl"], "fractional_positions": [[0.000, 0.000, 0.000], [0.667, 0.333, 0.500], [0.333, 0.667, 0.500], [0.001, 0.375, 0.695], [0.001, 0.626, 0.305], [0.374, 0.375, 0.305], [0.374, 0.999, 0.695], [0.625, 0.626, 0.695], [0.625, 0.999, 0.305]], "dft_energy_ev_per_atom": -3.90, "total_magnetization_mub_per_cell": 6.928}

---

(11)
{"formula": "KFeNi2Cl8", "functional": "GGA-PBE", "state": "relaxed", "lattice": [[3.115, 1.798, 9.176], [-3.115, 1.798, 9.176], [0.000, -3.597, 9.176]], "species": ["K", "Fe", "Ni", "Ni", "Cl", "Cl", "Cl", "Cl", "Cl", "Cl", "Cl", "Cl"], "fractional_positions": [[0.000, 0.000, 0.000], [0.500, 0.500, 0.500], [0.240, 0.240, 0.240], [0.760, 0.760, 0.760], [0.135, 0.443, 0.767], [0.233, 0.865, 0.557], [0.319, 0.319, 0.319], [0.443, 0.767, 0.135], [0.557, 0.233, 0.865], [0.681, 0.681, 0.681], [0.767, 0.135, 0.443], [0.865, 0.557, 0.233]], "dft_energy_ev_per_atom": -3.75, "total_magnetization_mub_per_cell": 9.007}

---

(12)
{"formula": "KFeP2Cl", "functional": "GGA-PBE", "state": "relaxed", "lattice": [[4.259, 0.000, 0.000], [0.000, 4.259, 0.000], [0.000, 0.000, 6.817]], "species": ["K", "Fe", "P", "P", "Cl"], "fractional_positions": [[0.000, 0.000, 0.000], [0.500, 0.500, 0.500], [0.000, 0.500, 0.500], [0.500, 0.000, 0.500], [0.500, 0.500, 0.000]], "dft_energy_ev_per_atom": -4.76, "relative_energy_mev_per_atom": 0, "total_magnetization_mub_per_cell": 1.710}

---

(13)
{"formula": "KFeP2Cl", "functional": "GGA-PBE", "state": "relaxed", "lattice": [[5.535, 0.000, 0.000], [0.000, 5.535, 0.000], [0.000, 0.000, 5.537]], "species": ["K", "Fe", "P", "P", "Cl"], "fractional_positions": [[0.000, 0.000, 0.000], [0.500, 0.500, 0.500], [0.000, 0.500, 0.000], [0.500, 0.000, 0.000], [0.000, 0.000, 0.500]], "dft_energy_ev_per_atom": -2.35, "relative_energy_mev_per_atom": 2410, "total_magnetization_mub_per_cell": 0.859}

---

(14)
{"formula": "KFePCl2", "functional": "GGA-PBE", "state": "relaxed", "lattice": [[5.595, 0.000, 0.000], [0.000, 5.595, 0.000], [0.000, 0.000, 5.869]], "species": ["K", "Fe", "P", "Cl", "Cl"], "fractional_positions": [[0.000, 0.000, 0.000], [0.500, 0.500, 0.500], [0.000, 0.000, 0.500], [0.000, 0.500, 0.000], [0.500, 0.000, 0.000]], "dft_energy_ev_per_atom": -2.90, "relative_energy_mev_per_atom": 1324, "total_magnetization_mub_per_cell": 6.151}

---

(15)
{"formula": "KFePCl2", "functional": "GGA-PBE", "state": "relaxed", "lattice": [[5.072, 0.000, 0.000], [0.000, 5.072, 0.000], [0.000, 0.000, 4.224]], "species": ["K", "Fe", "P", "Cl", "Cl"], "fractional_positions": [[0.000, 0.000, 0.000], [0.500, 0.500, 0.500], [0.500, 0.500, 0.000], [0.000, 0.500, 0.500], [0.500, 0.000, 0.500]], "dft_energy_ev_per_atom": -4.23, "relative_energy_mev_per_atom": 0, "total_magnetization_mub_per_cell": 0.020}

---

(16)
{"formula": "KFe2PbCl8", "functional": "GGA-PBE", "state": "relaxed", "lattice": [[5.459, -3.772, 0.000], [5.459, 3.772, 0.000], [-0.556, 0.000, 9.666]], "species": ["K", "Fe", "Fe", "Pb", "Cl", "Cl", "Cl", "Cl", "Cl", "Cl", "Cl", "Cl"], "fractional_positions": [[0.000, 0.000, 0.000], [0.379, 0.379, 0.731], [0.621, 0.621, 0.269], [0.000, 0.000, 0.500], [0.253, 0.743, 0.271], [0.257, 0.747, 0.729], [0.267, 0.267, 0.528], [0.285, 0.285, 0.926], [0.715, 0.715, 0.074], [0.733, 0.733, 0.472], [0.743, 0.253, 0.271], [0.747, 0.257, 0.729]], "dft_energy_ev_per_atom": -4.12, "total_magnetization_mub_per_cell": 9.000}

---

(17)
{"formula": "KFePbCl6", "functional": "GGA-PBE", "state": "relaxed", "lattice": [[6.979, 0.000, 0.000], [-3.489, 6.044, 0.000], [0.000, 0.000, 12.769]], "species": ["K", "K", "Fe", "Fe", "Pb", "Pb", "Cl", "Cl", "Cl", "Cl", "Cl", "Cl", "Cl", "Cl", "Cl", "Cl", "Cl", "Cl"], "fractional_positions": [[0.000, 0.000, 0.000], [0.000, 0.000, 0.500], [0.333, 0.667, 0.250], [0.667, 0.333, 0.750], [0.333, 0.667, 0.750], [0.667, 0.333, 0.250], [0.065, 0.402, 0.145], [0.065, 0.662, 0.355], [0.338, 0.402, 0.355], [0.338, 0.935, 0.145], [0.402, 0.065, 0.645], [0.402, 0.338, 0.855], [0.598, 0.662, 0.145], [0.598, 0.935, 0.355], [0.662, 0.065, 0.855], [0.662, 0.598, 0.645], [0.935, 0.338, 0.645], [0.935, 0.598, 0.855]], "dft_energy_ev_per_atom": -3.76, "total_magnetization_mub_per_cell": 1.999}

---

(18)
{"formula": "K2FePdCl6", "functional": "GGA-PBE", "state": "relaxed", "lattice": [[-3.509, 3.518, 4.968], [3.509, -3.518, 4.968], [3.509, 3.518, -4.968]], "species": ["K", "K", "Fe", "Pd", "Cl", "Cl", "Cl", "Cl", "Cl", "Cl"], "fractional_positions": [[0.250, 0.250, 0.000], [0.750, 0.750, 0.000], [0.500, 0.000, 0.500], [0.000, 0.500, 0.500], [0.256, 0.756, 0.500], [0.257, 0.242, 0.499], [0.257, 0.758, 0.015], [0.743, 0.242, 0.985], [0.743, 0.758, 0.501], [0.744, 0.244, 0.500]], "dft_energy_ev_per_atom": -3.81, "total_magnetization_mub_per_cell": 3.085}

---

(19)
{"formula": "KRb2FeCl6", "functional": "GGA-PBE", "state": "relaxed", "lattice": [[7.433, 0.000, 0.000], [0.000, 7.474, 0.000], [-7.346, 0.000, 10.559]], "species": ["K", "K", "Rb", "Rb", "Rb", "Rb", "Fe", "Fe", "Cl", "Cl", "Cl", "Cl", "Cl", "Cl", "Cl", "Cl", "Cl", "Cl", "Cl", "Cl"], "fractional_positions": [[0.000, 0.000, 0.000], [0.000, 0.500, 0.500], [0.261, 0.043, 0.752], [0.261, 0.457, 0.252], [0.739, 0.543, 0.748], [0.739, 0.957, 0.248], [0.500, 0.000, 0.500], [0.500, 0.500, 0.000], [0.228, 0.007, 0.287], [0.228, 0.493, 0.787], [0.282, 0.677, 0.032], [0.282, 0.823, 0.532], [0.357, 0.248, 0.030], [0.357, 0.252, 0.530], [0.643, 0.748, 0.470], [0.643, 0.752, 0.970], [0.718, 0.177, 0.468], [0.718, 0.323, 0.968], [0.772, 0.507, 0.213], [0.772, 0.993, 0.713]], "dft_energy_ev_per_atom": -3.66, "total_magnetization_mub_per_cell": 1.997}

---

(20)
{"formula": "KRbFe2Cl6", "functional": "GGA-PBE", "state": "relaxed", "lattice": [[6.905, -6.632, 0.000], [6.905, 6.632, 0.000], [-1.607, 0.000, 7.093]], "species": ["K", "K", "Rb", "Rb", "Fe", "Fe", "Fe", "Fe", "Cl", "Cl", "Cl", "Cl", "Cl", "Cl", "Cl", "Cl", "Cl", "Cl", "Cl", "Cl"], "fractional_positions": [[0.099, 0.901, 0.750], [0.901, 0.099, 0.250], [0.320, 0.680, 0.250], [0.680, 0.320, 0.750], [0.202, 0.374, 0.740], [0.374, 0.202, 0.240], [0.626, 0.798, 0.760], [0.798, 0.626, 0.260], [0.026, 0.213, 0.670], [0.123, 0.594, 0.837], [0.213, 0.026, 0.170], [0.321, 0.381, 0.482], [0.381, 0.321, 0.982], [0.406, 0.877, 0.663], [0.594, 0.123, 0.337], [0.619, 0.679, 0.018], [0.679, 0.619, 0.518], [0.787, 0.974, 0.830], [0.877, 0.406, 0.163], [0.974, 0.787, 0.330]], "dft_energy_ev_per_atom": -4.22, "total_magnetization_mub_per_cell": 16.000}